Computed, not measured: a relaxed ZnGaFeNi crystal at the PBE level of DFT.

abc: 5.787 5.787 5.787
angles: 90.00 90.00 90.00
Space group F-43m (No. 216)
Asymmetric unit:
Zn 0.000 0.000 0.000 [4 per cell]
Ga 0.000 0.000 0.500 [4 per cell]
Fe 0.250 0.250 0.750 [4 per cell]
Ni 0.250 0.250 0.250 [4 per cell]

Calculated values
V = 12.112 A^3/atom
E_tot = -4.75 eV/atom
D(E_F) = 2.28 states/eV/f.u.
ΔH_f (0 K) = -0.115 eV/atom
Total moment = 1.489 μB per cell

Computed, not measured: a relaxed Np4Ga16Fe3 crystal at the PBE level of DFT.

abc: 6.092 6.092 10.953
angles: 90.00 90.00 90.00
Space group P4/mmm (No. 123)
Asymmetric unit:
Np 0.000 0.500 0.194 [4 per cell]
Ga 0.000 0.000 0.200 [2 per cell]
Ga 0.221 0.221 0.000 [4 per cell]
Ga 0.249 0.249 0.383 [8 per cell]
Ga 0.500 0.500 0.218 [2 per cell]
Fe 0.000 0.500 0.500 [2 per cell]
Fe 0.500 0.500 0.000 [1 per cell]

Calculated values
V = 17.676 A^3/atom
E_tot = -5.69 eV/atom
D(E_F) = 32.85 states/eV/f.u.
ΔH_f (0 K) = -0.230 eV/atom
Total moment = 14.315 μB per cell

Computed, not measured: a relaxed NpGaFe crystal at the PBE level of DFT.

abc: 5.732 5.807 8.558
angles: 90.00 132.01 90.00
Space group P2_1/c (No. 14)
Asymmetric unit:
Np 0.100 0.120 0.409 [4 per cell]
Ga 0.423 0.622 0.600 [4 per cell]
Fe 0.150 0.114 0.177 [4 per cell]

Calculated values
V = 17.638 A^3/atom
E_tot = -8.27 eV/atom
D(E_F) = 5.60 states/eV/f.u.
ΔH_f (0 K) = -0.125 eV/atom
Total moment = 8.847 μB per cell

Computed, not measured: a relaxed Np4Ga12Fe crystal at the PBE level of DFT.

abc: 8.582 8.582 8.582
angles: 90.00 90.00 90.00
Space group Im-3m (No. 229)
Asymmetric unit:
Np 0.250 0.250 0.250 [8 per cell]
Ga 0.000 0.000 0.282 [12 per cell]
Ga 0.000 0.250 0.500 [12 per cell]
Fe 0.000 0.000 0.000 [2 per cell]

Calculated values
V = 18.591 A^3/atom
E_tot = -5.89 eV/atom
D(E_F) = 34.38 states/eV/f.u.
ΔH_f (0 K) = -0.211 eV/atom
Total moment = 34.355 μB per cell

Computed, not measured: a relaxed NpGa6Fe6 crystal at the PBE level of DFT.

abc: 5.010 8.520 8.643
angles: 90.00 90.00 90.00
Space group Immm (No. 71)
Asymmetric unit:
Np 0.000 0.000 0.000 [2 per cell]
Ga 0.000 0.000 0.344 [4 per cell]
Ga 0.000 0.335 0.000 [4 per cell]
Ga 0.000 0.500 0.315 [4 per cell]
Fe 0.000 0.257 0.500 [4 per cell]
Fe 0.250 0.250 0.250 [8 per cell]

Calculated values
V = 14.191 A^3/atom
E_tot = -6.47 eV/atom
D(E_F) = 16.84 states/eV/f.u.
ΔH_f (0 K) = -0.169 eV/atom
Total moment = 28.433 μB per cell

Computed, not measured: a relaxed NpGaFe crystal at the PBE level of DFT.

abc: 2.983 2.983 11.018
angles: 90.00 90.00 90.00
Space group I4mm (No. 107)
Asymmetric unit:
Np 0.000 0.000 0.000 [2 per cell]
Ga 0.000 0.000 0.711 [2 per cell]
Fe 0.000 0.000 0.344 [2 per cell]

Calculated values
V = 16.337 A^3/atom
E_tot = -8.15 eV/atom
D(E_F) = 5.05 states/eV/f.u.
ΔH_f (0 K) = -0.010 eV/atom
Total moment = 2.964 μB per cell

Computed, not measured: a relaxed NpGa7Fe5 crystal at the PBE level of DFT.

abc: 5.031 8.694 8.674
angles: 90.00 90.00 90.00
Space group Imm2 (No. 44)
Asymmetric unit:
Np 0.000 0.000 0.000 [2 per cell]
Ga 0.000 0.000 0.343 [2 per cell]
Ga 0.000 0.000 0.667 [2 per cell]
Ga 0.000 0.298 0.500 [4 per cell]
Ga 0.000 0.339 0.015 [4 per cell]
Ga 0.000 0.500 0.734 [2 per cell]
Fe 0.000 0.500 0.265 [2 per cell]
Fe 0.246 0.249 0.758 [8 per cell]

Calculated values
V = 14.592 A^3/atom
E_tot = -6.04 eV/atom
D(E_F) = 18.27 states/eV/f.u.
ΔH_f (0 K) = -0.156 eV/atom
Total moment = 25.919 μB per cell

Computed, not measured: a relaxed NpGa4Fe crystal at the PBE level of DFT.

abc: 7.489 4.083 6.609
angles: 90.00 90.00 90.00
Space group Pmma (No. 51)
Asymmetric unit:
Np 0.250 0.000 0.117 [2 per cell]
Ga 0.000 0.000 0.500 [2 per cell]
Ga 0.065 0.500 0.815 [4 per cell]
Ga 0.250 0.500 0.448 [2 per cell]
Fe 0.250 0.000 0.716 [2 per cell]

Calculated values
V = 16.839 A^3/atom
E_tot = -5.79 eV/atom
D(E_F) = 7.49 states/eV/f.u.
ΔH_f (0 K) = -0.209 eV/atom
Total moment = 6.490 μB per cell

Computed, not measured: a relaxed NpGaFe4 crystal at the PBE level of DFT.

abc: 6.946 6.946 6.946
angles: 90.00 90.00 90.00
Space group F-43m (No. 216)
Asymmetric unit:
Np 0.000 0.000 0.000 [4 per cell]
Ga 0.250 0.250 0.750 [4 per cell]
Fe 0.124 0.124 0.376 [16 per cell]

Calculated values
V = 13.963 A^3/atom
E_tot = -8.30 eV/atom
D(E_F) = 10.90 states/eV/f.u.
ΔH_f (0 K) = 0.007 eV/atom
Total moment = 14.841 μB per cell

Computed, not measured: a relaxed Np2Ga2Fe3 crystal at the PBE level of DFT.

abc: 11.806 4.217 4.903
angles: 90.00 105.82 90.00
Space group C2/m (No. 12)
Asymmetric unit:
Np 0.144 0.000 0.261 [4 per cell]
Ga 0.080 0.500 0.769 [4 per cell]
Fe 0.000 0.000 0.500 [2 per cell]
Fe 0.207 0.000 0.853 [4 per cell]

Calculated values
V = 16.773 A^3/atom
E_tot = -8.29 eV/atom
D(E_F) = 11.92 states/eV/f.u.
ΔH_f (0 K) = -0.105 eV/atom
Total moment = 6.056 μB per cell

Computed, not measured: a relaxed Np2Ga5Fe3 crystal at the PBE level of DFT.

abc: 4.066 24.004 6.741
angles: 90.00 90.00 90.00
Space group Cmc2_1 (No. 36)
Asymmetric unit:
Np 0.000 0.032 0.000 [4 per cell]
Np 0.000 0.321 0.913 [4 per cell]
Ga 0.000 0.097 0.602 [4 per cell]
Ga 0.000 0.202 0.094 [4 per cell]
Ga 0.000 0.207 0.710 [4 per cell]
Ga 0.000 0.369 0.452 [4 per cell]
Ga 0.000 0.447 0.848 [4 per cell]
Fe 0.000 0.100 0.203 [4 per cell]
Fe 0.000 0.262 0.395 [4 per cell]
Fe 0.000 0.456 0.231 [4 per cell]

Calculated values
V = 16.449 A^3/atom
E_tot = -6.75 eV/atom
D(E_F) = 15.06 states/eV/f.u.
ΔH_f (0 K) = -0.105 eV/atom
Total moment = 6.646 μB per cell

Computed, not measured: a relaxed Np2Ga8Fe crystal at the PBE level of DFT.

abc: 4.285 4.285 10.922
angles: 90.00 90.00 90.00
Space group P4/mmm (No. 123)
Asymmetric unit:
Np 0.000 0.000 0.196 [2 per cell]
Ga 0.000 0.500 0.000 [2 per cell]
Ga 0.000 0.500 0.382 [4 per cell]
Ga 0.500 0.500 0.193 [2 per cell]
Fe 0.000 0.000 0.500 [1 per cell]

Calculated values
V = 18.230 A^3/atom
E_tot = -5.55 eV/atom
D(E_F) = 16.82 states/eV/f.u.
ΔH_f (0 K) = -0.223 eV/atom
Total moment = 6.783 μB per cell

Computed, not measured: a relaxed Np3Ga12Fe crystal at the PBE level of DFT.

abc: 4.225 4.225 16.333
angles: 90.00 90.00 90.00
Space group P4/mmm (No. 123)
Asymmetric unit:
Np 0.000 0.000 0.000 [1 per cell]
Np 0.000 0.000 0.266 [2 per cell]
Ga 0.000 0.500 0.133 [4 per cell]
Ga 0.000 0.500 0.396 [4 per cell]
Ga 0.500 0.500 0.000 [1 per cell]
Ga 0.500 0.500 0.260 [2 per cell]
Ga 0.500 0.500 0.500 [1 per cell]
Fe 0.000 0.000 0.500 [1 per cell]

Calculated values
V = 18.223 A^3/atom
E_tot = -5.36 eV/atom
D(E_F) = 27.71 states/eV/f.u.
ΔH_f (0 K) = -0.131 eV/atom
Total moment = 1.609 μB per cell

Computed, not measured: a relaxed NpGaFe crystal at the PBE level of DFT.

abc: 6.205 6.205 5.852
angles: 90.00 90.09 90.00
Space group C2/c (No. 15)
Asymmetric unit:
Np 0.250 0.250 0.000 [4 per cell]
Ga 0.250 0.250 0.500 [4 per cell]
Fe 0.000 0.000 0.250 [4 per cell]

Calculated values
V = 18.777 A^3/atom
E_tot = -8.06 eV/atom
D(E_F) = 7.00 states/eV/f.u.
ΔH_f (0 K) = 0.081 eV/atom
Total moment = 12.438 μB per cell

Computed, not measured: a relaxed Np2GaFe crystal at the PBE level of DFT.

abc: 2.7764 2.7764 33.8250
angles: 90.00 90.00 120.00
Space group R-3m (No. 166, hexagonal axes)
Asymmetric unit:
Np 0.0000 0.0000 0.0920 [6 per cell]
Ga 0.0000 0.0000 0.0000 [3 per cell]
Fe 0.0000 0.0000 0.5000 [3 per cell]

Calculated values
V = 18.817 A^3/atom
E_tot = -8.91 eV/atom
D(E_F) = 6.53 states/eV/f.u.
ΔH_f (0 K) = 0.436 eV/atom
Total moment = 23.999 μB per cell